This record from the Alexandria database describes a PBEsol-optimized structure of Sr2YSi. The functional is SCAN.

abc: 3.772 4.370 9.181
angles: 103.77 101.86 90.00
Each line ends with the local moment (μB).
Positions (direct):
Sr: 0.340 0.340 0.681  0.01
Si: 0.000 0.500 0.000  0.01
Sr: 0.660 0.660 0.319  0.01
Y: 0.500 0.000 0.000  0.06

Values from the calculation:
Total magnetic moment ... 0.3 μB/cell
DOS at the Fermi energy ... 0.799 states/eV/atom
Formation energy from raw total energies ... -0.1909 eV/atom